# PBE-GGA LiZr2Sn2, optimized geometry
data_LiZr2Sn2
_symmetry_space_group_name_H-M 'I 4/m m m'
_symmetry_Int_Tables_number 139
_symmetry_space_group_name_Hall '-I 4 2'
_cell_length_a 4.2712
_cell_length_b 4.2712
_cell_length_c 13.7266
_cell_angle_alpha 90.00
_cell_angle_beta 90.00
_cell_angle_gamma 90.00
loop_
_atom_site_label
_atom_site_fract_x
_atom_site_fract_y
_atom_site_fract_z
Li1 0.0000 0.0000 0.0000
Zr1 0.0000 0.0000 0.4049
Sn1 0.0000 0.5000 0.2500
# - crystal system = tetragonal
# - DOS at the Fermi energy (states/eV/f.u.) = 4.0
# - final energy (eV per cell) = -52.0